Compound: HPtI2N
Source: Alexandria
Functional: PBE
Structure: optimized geometry

Structure (POSCAR):
```
HPtI2N
1.0
5.4177 0.0000 0.0000
0.0000 5.4177 0.0000
0.0000 0.0000 2.8794
H Pt I N
1 1 2 1
direct
0.0000 0.0000 0.0000
0.5000 0.5000 0.5000
0.0000 0.5000 0.0000
0.5000 0.0000 0.0000
0.0000 0.0000 0.5000
```

Calculated values
The density comes out at 9.11 g/cm³. Its total magnetic moment is 0.001 μB per formula unit. The density of states at the Fermi level comes out at 4.85 states/eV per cell. For the electronic total energy, the calculation gives -14.35 eV per cell.